(1)
Density functional theory data (PBE) for a geometry-optimized TbNd3Dy6Tm2 structure.

Mass density ... 8.21 g/cm3
Uncorrected energy ... -55.26 eV for the cell shown
Space-group type ... C2/m (12)

a = 6.184 Å, b = 6.184 Å, c = 11.811 Å
α = 94.99°, β = 94.99°, γ = 119.97°
Fractional positions:
Tb  0.000  0.000  0.000
Nd  0.167  0.833  0.500
Nd  0.500  0.500  0.500
Nd  0.833  0.167  0.500
Dy  0.082  0.416  0.246
Dy  0.252  0.252  0.755
Dy  0.416  0.082  0.246
Dy  0.584  0.918  0.754
Dy  0.748  0.748  0.245
Dy  0.918  0.584  0.754
Tm  0.333  0.667  0.000
Tm  0.667  0.333  0.000

(2)
Density functional theory data (PBE) for a geometry-optimized HfCrAgS4 structure.

Mass density ... 5.76 g/cm3
Space-group type ... Pmn2_1 (31)
E above lowest polymorph ... 100 meV per atom

a = 3.607 Å, b = 11.273 Å, c = 13.233 Å
α = 90.00°, β = 90.00°, γ = 90.00°
Fractional positions:
Hf  0.000  0.146  0.000
Hf  0.000  0.671  0.192
Hf  0.500  0.329  0.692
Hf  0.500  0.854  0.500
Cr  0.000  0.222  0.481
Cr  0.000  0.692  0.692
Cr  0.500  0.308  0.192
Cr  0.500  0.778  0.981
Ag  0.000  0.014  0.316
Ag  0.000  0.528  0.417
Ag  0.500  0.472  0.917
Ag  0.500  0.986  0.816
S  0.000  0.181  0.659
S  0.000  0.249  0.300
S  0.000  0.353  0.073
S  0.000  0.477  0.752
S  0.000  0.636  0.006
S  0.000  0.792  0.371
S  0.000  0.891  0.628
S  0.000  0.923  0.966
S  0.500  0.077  0.466
S  0.500  0.109  0.128
S  0.500  0.208  0.871
S  0.500  0.364  0.506
S  0.500  0.523  0.252
S  0.500  0.647  0.573
S  0.500  0.751  0.800
S  0.500  0.819  0.159

(3)
Density functional theory data (PBE) for a geometry-optimized Tb5Pm4Sm2 structure.

Mass density ... 7.48 g/cm3
Space-group type ... C2/m (12)
E above lowest polymorph ... 12 meV per atom

a = 7.003 Å, b = 7.003 Å, c = 10.580 Å
α = 118.61°, β = 118.61°, γ = 59.19°
Fractional positions:
Tb  0.000  0.000  0.000
Tb  0.231  0.767  0.328
Tb  0.233  0.769  0.672
Tb  0.767  0.231  0.328
Tb  0.769  0.233  0.672
Pm  0.281  0.281  0.344
Pm  0.314  0.314  0.001
Pm  0.686  0.686  0.999
Pm  0.719  0.719  0.656
Sm  0.260  0.260  0.658
Sm  0.740  0.740  0.342

(4)
Density functional theory data (PBE) for a geometry-optimized CoAgTe structure.

Mass density ... 8.65 g/cm3
Space-group type ... P4/nmm (129)
E above lowest polymorph ... 0 meV per atom

a = 4.258 Å, b = 4.258 Å, c = 6.231 Å
α = 90.00°, β = 90.00°, γ = 90.00°
Fractional positions:
Co  0.250  0.750  0.000
Co  0.750  0.250  0.000
Ag  0.250  0.250  0.296
Ag  0.750  0.750  0.704
Te  0.250  0.250  0.757
Te  0.750  0.750  0.243

(5)
Density functional theory data (PBE) for a geometry-optimized ZrH structure.

Mass density ... 5.61 g/cm3
Uncorrected energy ... -98.77 eV for the cell shown
Space-group type ... P4/m (83)

a = 8.196 Å, b = 8.196 Å, c = 3.254 Å
α = 90.00°, β = 90.00°, γ = 90.00°
Fractional positions:
Zr  0.055  0.272  0.000
Zr  0.250  0.594  0.500
Zr  0.272  0.945  0.000
Zr  0.406  0.250  0.500
Zr  0.594  0.750  0.500
Zr  0.728  0.055  0.000
Zr  0.750  0.406  0.500
Zr  0.945  0.728  0.000
H  0.115  0.536  0.000
H  0.181  0.355  0.500
H  0.355  0.819  0.500
H  0.464  0.115  0.000
H  0.536  0.885  0.000
H  0.645  0.181  0.500
H  0.819  0.645  0.500
H  0.885  0.464  0.000

(6)
Density functional theory data (PBE) for a geometry-optimized DyGaCu2Au4 structure.

Mass density ... 13.44 g/cm3
Uncorrected energy ... -31.44 eV for the cell shown
Space-group type ... R-3m (166)

a = 7.919 Å, b = 7.919 Å, c = 7.919 Å
α = 34.44°, β = 34.44°, γ = 34.44°
Fractional positions:
Dy  0.000  0.000  0.000
Ga  0.500  0.500  0.500
Cu  0.259  0.259  0.259
Cu  0.741  0.741  0.741
Au  0.134  0.134  0.134
Au  0.385  0.385  0.385
Au  0.615  0.615  0.615
Au  0.866  0.866  0.866

(7)
Density functional theory data (PBE) for a geometry-optimized YC3 structure.

Mass density ... 4.50 g/cm3
Space-group type ... Pm-3n (223)
E above lowest polymorph ... 2093 meV per atom

a = 4.517 Å, b = 4.517 Å, c = 4.517 Å
α = 90.00°, β = 90.00°, γ = 90.00°
Fractional positions:
Y  0.000  0.000  0.000
Y  0.500  0.500  0.500
C  0.000  0.250  0.500
C  0.000  0.750  0.500
C  0.250  0.500  0.000
C  0.500  0.000  0.250
C  0.500  0.000  0.750
C  0.750  0.500  0.000

(8)
Density functional theory data (PBE) for a geometry-optimized FePb5 structure.

Mass density ... 10.94 g/cm3
Uncorrected energy ... -25.53 eV for the cell shown
Space-group type ... P4/mmm (123)

a = 3.447 Å, b = 3.447 Å, c = 13.950 Å
α = 90.00°, β = 90.00°, γ = 90.00°
Fractional positions:
Fe  0.000  0.000  0.000
Pb  0.000  0.000  0.317
Pb  0.000  0.000  0.683
Pb  0.500  0.500  0.121
Pb  0.500  0.500  0.500
Pb  0.500  0.500  0.879

(9)
Density functional theory data (PBE) for a geometry-optimized Ca2ScInSn structure.

Mass density ... 3.19 g/cm3
Uncorrected energy ... -17.10 eV for the cell shown
Space-group type ... P4/mmm (123)

a = 5.854 Å, b = 5.854 Å, c = 5.440 Å
α = 90.00°, β = 90.00°, γ = 90.00°
Fractional positions:
Ca  0.000  0.500  0.000
Ca  0.500  0.000  0.000
Sc  0.000  0.000  0.500
In  0.500  0.500  0.500
Sn  0.000  0.000  0.000

(10)
Density functional theory data (PBE) for a geometry-optimized SrPrPt2 structure.

Mass density ... 10.59 g/cm3
Space-group type ... Fm-3m (225)
E above lowest polymorph ... 53 meV per atom

a = 5.158 Å, b = 5.158 Å, c = 5.158 Å
α = 60.00°, β = 60.00°, γ = 60.00°
Fractional positions:
Sr  0.000  0.000  0.000
Pr  0.500  0.500  0.500
Pt  0.250  0.250  0.250
Pt  0.750  0.750  0.750

(11)
Density functional theory data (PBE) for a geometry-optimized ScAg2GeO4 structure.

Mass density ... 5.27 g/cm3
Uncorrected energy ... -48.43 eV for the cell shown
Space-group type ... I-4 (82)

a = 5.854 Å, b = 5.854 Å, c = 5.854 Å
α = 126.61°, β = 126.61°, γ = 78.89°
Fractional positions:
Sc  0.000  0.000  0.000
Ag  0.250  0.750  0.500
Ag  0.500  0.500  0.000
Ge  0.750  0.250  0.500
O  0.014  0.600  0.879
O  0.400  0.279  0.414
O  0.721  0.135  0.121
O  0.865  0.986  0.586

(12)
Density functional theory data (PBE) for a geometry-optimized ZrAs2OsSe structure.

Mass density ... 7.43 g/cm3
Space-group type ... P4/mmm (123)
E above lowest polymorph ... 0 meV per atom

a = 4.661 Å, b = 4.661 Å, c = 5.250 Å
α = 90.00°, β = 90.00°, γ = 90.00°
Fractional positions:
Zr  0.000  0.000  0.000
As  0.000  0.500  0.500
As  0.500  0.000  0.500
Os  0.500  0.500  0.500
Se  0.500  0.500  0.000

- Number 10 is which compound?
  SrPrPt2

- What is the mass density in the first record?
  8.21 g/cm3